First-principles (PBEsol) data for RbCa2AlRu after structural relaxation, as listed in Alexandria via LeMat-Bulk.

Calculated values
DFT total energy = -3.39 eV per atom
DOS(E_F) = 3.852 states/eV/f.u.
mass density = 3.09 Mg/m³
calculated formation energy = 0.523 eV/atom

a = 4.5827 Å, b = 5.8685 Å, c = 5.8685 Å
α = 90.00°, β = 90.00°, γ = 90.00°
Last column: nearest neighbours and their distance in Å.
Positions (direct):
Rb (0.5000, 0.5000, 0.5000)  8 Ca 3.72, 4 Ru 4.15
Ca (0.0000, 0.0000, 0.5000)  2 Al 2.93
Ca (0.0000, 0.5000, 0.0000)  2 Al 2.93
Al (0.0000, 0.0000, 0.0000)  2 Ru 2.29
Ru (0.5000, 0.0000, 0.0000)  2 Al 2.29


First-principles (PBEsol) data for RbCa2AlS after structural relaxation, as listed in Alexandria via LeMat-Bulk.

Calculated values
DFT total energy = -2.71 eV per atom
DOS(E_F) = 4.726 states/eV/f.u.
mass density = 2.07 Mg/m³
E_form (uncorrected) = 21 kJ/mol of formula units

a = 5.2777 Å, b = 5.8460 Å, c = 5.8460 Å
α = 90.00°, β = 90.00°, γ = 90.00°
Last column: nearest neighbours and their distance in Å.
Positions (direct):
Rb (0.5000, 0.5000, 0.5000)  8 Ca 3.94, 4 S 4.13
Al (0.0000, 0.0000, 0.0000)  2 S 2.64, 4 Ca 2.92
Ca (0.0000, 0.5000, 0.0000)  2 Al 2.92
Ca (0.0000, 0.0000, 0.5000)  2 Al 2.92
S (0.5000, 0.0000, 0.0000)  2 Al 2.64


First-principles (PBEsol) data for CaAlRe2 after structural relaxation, as listed in Alexandria via LeMat-Bulk.

Calculated values
DFT total energy = -7.64 eV per atom
DOS(E_F) = 3.056 states/eV/f.u.
mass density = 11.09 Mg/m³
calculated formation energy = 0.584 eV/atom

a = 2.6221 Å, b = 5.3073 Å, c = 5.3073 Å
α = 117.03°, β = 90.00°, γ = 90.00°
Last column: nearest neighbours and their distance in Å.
Positions (direct):
Ca (0.5000, 0.5000, 0.5000)  2 Ca 2.62, 2 Al 2.77
Al (0.5000, 0.0000, 0.0000)  2 Al 2.62, 2 Ca 2.77
Re (0.0000, 0.5000, 0.0000)  4 Re 2.62-2.77
Re (0.0000, 0.0000, 0.5000)  4 Re 2.62-2.77


First-principles (PBEsol) data for CaAlRe after structural relaxation, as listed in Alexandria via LeMat-Bulk.

Calculated values
relative energy among the computed polymorphs = 0 meV/atom
DFT total energy = -6.27 eV per atom
DOS(E_F) = 1.375 states/eV/f.u.
mass density = 7.22 Mg/m³
calculated formation energy = 0.250 eV/atom

a = 2.8160 Å, b = 4.0380 Å, c = 5.6855 Å
α = 110.80°, β = 104.34°, γ = 90.00°
Last column: nearest neighbours and their distance in Å.
Positions (direct):
Al (0.0467, 0.0467, 0.0934)  4 Re 2.59, 2 Al 2.82, 1 Ca 2.89
Ca (0.3286, 0.3286, 0.6573)  2 Ca 2.82, 1 Al 2.89, 1 Re 3.03
Re (0.6247, 0.6247, 0.2493)  4 Al 2.59, 2 Re 2.82